Entry 1:
DFT (PBE) results for crystalline LaCe2MoN4 at its relaxed geometry.

Summary:
Space group   Cmcm (63)
Formation energy from raw total energies   -1.109 eV per atom

CIF file:
```
data_LaCe2MoN4
_cell_length_a 3.5241
_cell_length_b 6.2889
_cell_length_c 11.8463
_cell_angle_alpha 90.00
_cell_angle_beta 90.00
_cell_angle_gamma 106.27
_space_group_name_H-M_alt 'P 1'
_space_group_IT_number 1
_space_group_name_Hall 'P 1'
loop_
_atom_site_label
_atom_site_fract_x
_atom_site_fract_y
_atom_site_fract_z
La1 0.1155 0.2310 0.7500
La2 0.8845 0.7690 0.2500
Ce1 0.3679 0.7357 0.5439
Ce2 0.6321 0.2643 0.0439
Ce3 0.6321 0.2643 0.4561
Ce4 0.3679 0.7357 0.9561
Mo1 0.8536 0.7071 0.7500
Mo2 0.1464 0.2929 0.2500
N1 0.2642 0.5284 0.1269
N2 0.7358 0.4716 0.6269
N3 0.7358 0.4716 0.8731
N4 0.2642 0.5284 0.3731
N5 0.0000 0.0000 0.5000
N6 0.0000 0.0000 0.0000
N7 0.4450 0.8900 0.7500
N8 0.5550 0.1100 0.2500
```

Entry 2:
DFT (PBE) results for crystalline La2CeMoN4 at its relaxed geometry.

Summary:
Space group   Cmcm (63)
Formation energy from raw total energies   -0.945 eV per atom

CIF file:
```
data_La2CeMoN4
_cell_length_a 3.4827
_cell_length_b 6.3157
_cell_length_c 12.6465
_cell_angle_alpha 90.00
_cell_angle_beta 90.00
_cell_angle_gamma 106.00
_space_group_name_H-M_alt 'P 1'
_space_group_IT_number 1
_space_group_name_Hall 'P 1'
loop_
_atom_site_label
_atom_site_fract_x
_atom_site_fract_y
_atom_site_fract_z
La1 0.3682 0.7364 0.5405
La2 0.6318 0.2636 0.0405
La3 0.6318 0.2636 0.4595
La4 0.3682 0.7364 0.9595
Ce1 0.0921 0.1842 0.7500
Ce2 0.9079 0.8158 0.2500
Mo1 0.8296 0.6592 0.7500
Mo2 0.1704 0.3408 0.2500
N1 0.2758 0.5515 0.1377
N2 0.7242 0.4485 0.6377
N3 0.7242 0.4485 0.8623
N4 0.2758 0.5515 0.3623
N5 0.0000 0.0000 0.5000
N6 0.0000 0.0000 0.0000
N7 0.4373 0.8746 0.7500
N8 0.5627 0.1254 0.2500
```

Entry 3:
DFT (PBE) results for crystalline La2CeMoN5 at its relaxed geometry.

Summary:
Space group   Cmc2_1 (36)
Formation energy from raw total energies   -1.121 eV per atom

CIF file:
```
data_La2CeMoN5
_cell_length_a 3.6158
_cell_length_b 7.3573
_cell_length_c 10.6982
_cell_angle_alpha 90.00
_cell_angle_beta 90.00
_cell_angle_gamma 104.22
_space_group_name_H-M_alt 'P 1'
_space_group_IT_number 1
_space_group_name_Hall 'P 1'
loop_
_atom_site_label
_atom_site_fract_x
_atom_site_fract_y
_atom_site_fract_z
La1 0.8520 0.7039 0.8099
La2 0.1081 0.2162 0.6809
La3 0.1480 0.2961 0.3099
La4 0.8919 0.7838 0.1809
Ce1 0.7944 0.5889 0.5151
Ce2 0.2056 0.4111 0.0151
Mo1 0.5218 0.0435 0.9480
Mo2 0.4782 0.9565 0.4480
N1 0.3707 0.7413 0.0054
N2 0.6675 0.3349 0.8892
N3 0.4850 0.9700 0.7846
N4 0.2792 0.5585 0.6684
N5 0.9656 0.9312 0.5225
N6 0.6293 0.2587 0.5054
N7 0.3325 0.6651 0.3892
N8 0.5150 0.0300 0.2846
N9 0.7208 0.4415 0.1684
N10 0.0344 0.0688 0.0225
```

Entry 4:
DFT (PBE) results for crystalline LaCeMo12S16 at its relaxed geometry.

Summary:
Space group   P-1 (2)
Formation energy from raw total energies   -0.943 eV per atom

CIF file:
```
data_LaCeMo12S16
_cell_length_a 6.5416
_cell_length_b 6.5417
_cell_length_c 13.0864
_cell_angle_alpha 88.98
_cell_angle_beta 88.99
_cell_angle_gamma 89.00
_space_group_name_H-M_alt 'P 1'
_space_group_IT_number 1
_space_group_name_Hall 'P 1'
loop_
_atom_site_label
_atom_site_fract_x
_atom_site_fract_y
_atom_site_fract_z
La1 0.0000 0.0000 0.5000
Ce1 0.0000 0.0000 0.0000
Mo1 0.2246 0.4222 0.7824
Mo2 0.2258 0.4179 0.2797
Mo3 0.5617 0.2274 0.7114
Mo4 0.5628 0.2230 0.2087
Mo5 0.4198 0.5639 0.6142
Mo6 0.4205 0.5605 0.1112
Mo7 0.7742 0.5821 0.7203
Mo8 0.7754 0.5778 0.2176
Mo9 0.4372 0.7770 0.7913
Mo10 0.4383 0.7726 0.2886
Mo11 0.5795 0.4395 0.8888
Mo12 0.5802 0.4361 0.3858
S1 0.7473 0.3759 0.5645
S2 0.7513 0.3708 0.0630
S3 0.1269 0.7496 0.6882
S4 0.1281 0.7490 0.1851
S5 0.3715 0.1293 0.8765
S6 0.3750 0.1255 0.3727
S7 0.2487 0.6292 0.9370
S8 0.2527 0.6241 0.4355
S9 0.8719 0.2510 0.8149
S10 0.8731 0.2504 0.3118
S11 0.6250 0.8745 0.6273
S12 0.6285 0.8707 0.1235
S13 0.2430 0.2448 0.6229
S14 0.2423 0.2404 0.1198
S15 0.7577 0.7596 0.8802
S16 0.7570 0.7552 0.3771
```

Entry 5:
DFT (PBE) results for crystalline LaCe3N at its relaxed geometry.

Summary:
Space group   Pm-3m (221)
Formation energy from raw total energies   -0.522 eV per atom

CIF file:
```
data_LaCe3N
_cell_length_a 4.9564
_cell_length_b 4.9564
_cell_length_c 4.9564
_cell_angle_alpha 90.00
_cell_angle_beta 90.00
_cell_angle_gamma 90.00
_space_group_name_H-M_alt 'P 1'
_space_group_IT_number 1
_space_group_name_Hall 'P 1'
loop_
_atom_site_label
_atom_site_fract_x
_atom_site_fract_y
_atom_site_fract_z
N1 0.0000 0.0000 0.0000
Ce1 0.0000 0.5000 0.0000
Ce2 0.0000 0.0000 0.5000
Ce3 0.5000 0.0000 0.0000
La1 0.5000 0.5000 0.5000
```

Entry 6:
DFT (PBE) results for crystalline La5Ce3N8 at its relaxed geometry.

Summary:
Space group   R-3m (166)
Formation energy from raw total energies   -1.395 eV per atom

CIF file:
```
data_La5Ce3N8
_cell_length_a 7.3374
_cell_length_b 7.3374
_cell_length_c 7.3504
_cell_angle_alpha 60.06
_cell_angle_beta 60.06
_cell_angle_gamma 60.00
_space_group_name_H-M_alt 'P 1'
_space_group_IT_number 1
_space_group_name_Hall 'P 1'
loop_
_atom_site_label
_atom_site_fract_x
_atom_site_fract_y
_atom_site_fract_z
La1 0.5000 0.0000 0.0000
La2 0.5000 0.5000 0.0000
La3 0.0000 0.0000 0.0000
La4 0.0000 0.5000 0.0000
La5 0.5000 0.5000 0.5000
Ce1 0.5000 0.0000 0.5000
Ce2 0.0000 0.0000 0.5000
Ce3 0.0000 0.5000 0.5000
N1 0.2500 0.2500 0.7318
N2 0.2500 0.7681 0.7318
N3 0.7681 0.2500 0.7318
N4 0.7571 0.7571 0.7286
N5 0.7500 0.7500 0.2682
N6 0.7500 0.2319 0.2682
N7 0.2319 0.7500 0.2682
N8 0.2429 0.2429 0.2714
```

Entry 7:
DFT (PBE) results for crystalline La4CeN4 at its relaxed geometry.

Summary:
Space group   C2/m (12)
Excess energy over the best structure of this formula in the dataset   0 meV per atom
Formation energy from raw total energies   -1.224 eV per atom

CIF file:
```
data_La4CeN4
_cell_length_a 3.6849
_cell_length_b 6.4427
_cell_length_c 8.3250
_cell_angle_alpha 75.78
_cell_angle_beta 77.21
_cell_angle_gamma 73.38
_space_group_name_H-M_alt 'P 1'
_space_group_IT_number 1
_space_group_name_Hall 'P 1'
loop_
_atom_site_label
_atom_site_fract_x
_atom_site_fract_y
_atom_site_fract_z
La1 0.7066 0.3992 0.1876
La2 0.8949 0.8267 0.3835
La3 0.2934 0.6008 0.8124
La4 0.1051 0.1733 0.6165
Ce1 0.5000 0.0000 0.0000
N1 0.3087 0.0874 0.2951
N2 0.6913 0.9126 0.7049
N3 0.9033 0.2814 0.9120
N4 0.0967 0.7186 0.0880
```

Entry 8:
DFT (PBE) results for crystalline La2Ce3N4 at its relaxed geometry.

Summary:
Space group   C2/m (12)
Formation energy from raw total energies   -1.258 eV per atom

CIF file:
```
data_La2Ce3N4
_cell_length_a 3.5968
_cell_length_b 6.2824
_cell_length_c 8.1856
_cell_angle_alpha 75.30
_cell_angle_beta 77.31
_cell_angle_gamma 73.37
_space_group_name_H-M_alt 'P 1'
_space_group_IT_number 1
_space_group_name_Hall 'P 1'
loop_
_atom_site_label
_atom_site_fract_x
_atom_site_fract_y
_atom_site_fract_z
La1 0.6038 0.1804 0.6120
La2 0.3962 0.8196 0.3880
Ce1 0.0000 0.0000 0.0000
Ce2 0.2074 0.3971 0.1880
Ce3 0.7926 0.6029 0.8120
N1 0.8002 0.1097 0.2900
N2 0.1998 0.8903 0.7100
N3 0.3907 0.3034 0.9151
N4 0.6093 0.6966 0.0849
```